# 1
{"formula": "CsTe2RhN", "functional": "PBE", "state": "optimized geometry", "formation_energy_uncorrected_mev_per_atom": 137, "energy_ev_per_cell": -22.13, "lattice": [[6.223, 0.000, 0.000], [0.000, 6.223, 0.000], [0.000, 0.000, 3.639]], "species": ["Cs", "Te", "Te", "Rh", "N"], "fractional_positions": [[0.000, 0.000, 0.000], [0.000, 0.500, 0.500], [0.500, 0.000, 0.500], [0.500, 0.500, 0.500], [0.500, 0.500, 0.000]]}


# 2
{"formula": "AcSnP4", "functional": "PBE", "state": "optimized geometry", "formation_enthalpy_0k_ev_per_fu": -0.6, "energy_ev_per_cell": -30.32, "lattice": [[0.000, 3.974, 3.974], [3.974, 0.000, 3.974], [3.974, 3.974, 0.000]], "species": ["Ac", "Sn", "P", "P", "P", "P"], "fractional_positions": [[0.000, 0.000, 0.000], [0.750, 0.750, 0.750], [0.392, 0.392, 0.392], [0.392, 0.392, 0.824], [0.392, 0.824, 0.392], [0.824, 0.392, 0.392]]}


Here are the calculated volume numbers, same order: 28.18; 20.93 (Å³ per atom).